Entry a
Entry from the Alexandria database: a relaxed Dy3Y2Sc crystal (PBE-GGA).

## Properties
Its mass density is 6.32 Mg/m³. Its space group is No. 15. The total magnetization is 0.00 μB/cell.

Unit cell a=9.1673 b=9.1673 c=6.7560 alpha=93.47 beta=93.47 gamma=41.19
Fractional coordinates of all 12 atoms:
Dy1 0.1762 0.8238 0.7500
Dy2 0.3194 0.3954 0.9826
Dy3 0.3954 0.3194 0.4826
Dy4 0.6046 0.6806 0.5174
Dy5 0.6806 0.6046 0.0174
Dy6 0.8238 0.1762 0.2500
Y1 0.1195 0.2473 0.6871
Y2 0.2473 0.1195 0.1871
Y3 0.7527 0.8805 0.8129
Y4 0.8805 0.7527 0.3129
Sc1 0.3153 0.6847 0.2500
Sc2 0.6847 0.3153 0.7500

Entry b
Entry from the Alexandria database: a relaxed Dy3Y2Sc crystal (PBE-GGA).

## Properties
Its mass density is 6.45 Mg/m³. Its space group is No. 167. The total magnetization is 0.00 μB/cell.

Unit cell a=11.8750 b=11.8750 c=11.8750 alpha=29.78 beta=29.78 gamma=29.78
Fractional coordinates of all 12 atoms:
Dy1 0.0891 0.7500 0.4109
Dy2 0.2500 0.5891 0.9109
Dy3 0.4109 0.0891 0.7500
Dy4 0.5891 0.9109 0.2500
Dy5 0.7500 0.4109 0.0891
Dy6 0.9109 0.2500 0.5891
Y1 0.1672 0.1672 0.1672
Y2 0.3328 0.3328 0.3328
Y3 0.6672 0.6672 0.6672
Y4 0.8328 0.8328 0.8328
Sc1 0.0000 0.0000 0.0000
Sc2 0.5000 0.5000 0.5000

Which of them is least stable? Easy: entry a.

Entry a
Entry from the Alexandria database: a relaxed Dy3YSc3 crystal (PBE-GGA).

## Properties
Its mass density is 5.68 Mg/m³. Its space group is No. 148. The total magnetization is 0.00 μB/cell.

Unit cell a=8.4545 b=8.4545 c=8.4545 alpha=58.79 beta=58.79 gamma=58.79
Fractional coordinates of all 14 atoms:
Dy1 0.0684 0.5671 0.2218
Dy2 0.2218 0.0684 0.5671
Dy3 0.4329 0.7782 0.9316
Dy4 0.5671 0.2218 0.0684
Dy5 0.7782 0.9316 0.4329
Dy6 0.9316 0.4329 0.7782
Y1 0.1521 0.1521 0.1521
Y2 0.8479 0.8479 0.8479
Sc1 0.2221 0.6690 0.4383
Sc2 0.3310 0.5617 0.7779
Sc3 0.4383 0.2221 0.6690
Sc4 0.5617 0.7779 0.3310
Sc5 0.6690 0.4383 0.2221
Sc6 0.7779 0.3310 0.5617

Entry b
Entry from the Alexandria database: a relaxed Dy3YSc3 crystal (PBE-GGA).

## Properties
Its mass density is 5.87 Mg/m³. Its space group is No. 176. The total magnetization is 1.57 μB/cell.

Unit cell a=9.2340 b=9.2340 c=5.4522 alpha=90.00 beta=90.00 gamma=120.00
Fractional coordinates of all 14 atoms:
Dy1 0.0450 0.8011 0.2500
Dy2 0.1989 0.2438 0.2500
Dy3 0.2438 0.0450 0.7500
Dy4 0.7562 0.9550 0.2500
Dy5 0.8011 0.7562 0.7500
Dy6 0.9550 0.1989 0.7500
Y1 0.3333 0.6667 0.2500
Y2 0.6667 0.3333 0.7500
Sc1 0.0947 0.6148 0.7500
Sc2 0.3852 0.4799 0.7500
Sc3 0.4799 0.0947 0.2500
Sc4 0.5201 0.9053 0.7500
Sc5 0.6148 0.5201 0.2500
Sc6 0.9053 0.3852 0.2500

Which of them is least stable? Easy: entry a.

Entry a
Entry from the Alexandria database: a relaxed Dy2Y4Sc crystal (PBE-GGA).

## Properties
Its mass density is 5.51 Mg/m³. Its space group is No. 1. The total magnetization is 0.00 μB/cell.

Unit cell a=6.6778 b=8.7480 c=8.7617 alpha=82.00 beta=67.62 gamma=67.57
Fractional coordinates of all 14 atoms:
Dy1 0.0000 0.0000 0.0000
Dy2 0.1181 0.9714 0.5299
Dy3 0.4275 0.5000 0.4996
Dy4 0.6189 0.0294 0.4704
Y1 0.4206 0.2385 0.2269
Y2 0.4706 0.7317 0.7424
Y3 0.4923 0.1749 0.8283
Y4 0.4945 0.8259 0.1719
Y5 0.8857 0.7617 0.7730
Y6 0.9451 0.2684 0.2574
Y7 0.9886 0.3395 0.6713
Y8 0.9986 0.6612 0.3294
Sc1 0.1281 0.5239 0.9706
Sc2 0.6217 0.4769 0.0299

Entry b
Entry from the Alexandria database: a relaxed Dy2Y4Sc crystal (PBE-GGA).

## Properties
Its mass density is 5.43 Mg/m³. Its space group is No. 64. The total magnetization is 0.00 μB/cell.

Unit cell a=6.5826 b=6.5826 c=13.5631 alpha=90.00 beta=90.00 gamma=130.98
Fractional coordinates of all 14 atoms:
Dy1 0.0741 0.9259 0.8441
Dy2 0.4259 0.5741 0.3441
Dy3 0.5741 0.4259 0.6559
Dy4 0.9259 0.0741 0.1559
Y1 0.1363 0.8637 0.3189
Y2 0.2404 0.7596 0.0756
Y3 0.2596 0.7404 0.5756
Y4 0.3637 0.6363 0.8189
Y5 0.6363 0.3637 0.1811
Y6 0.7404 0.2596 0.4244
Y7 0.7596 0.2404 0.9244
Y8 0.8637 0.1363 0.6811
Sc1 0.0000 0.0000 0.5000
Sc2 0.5000 0.5000 0.0000

Which of them is least stable? Easy: entry b.